[1]
VASP calculation (PBE) on Pr2Ge4Ir3 after structural relaxation.

Output
Energy relative to the lowest polymorph listed for this composition ... 0.00 eV/f.u.
Crystal system ... orthorhombic
Space group ... Cmce, No. 64

Geometry as POSCAR:
```
Pr2Ge4Ir3
1.0
0.942 5.070 -2.658
-5.457 -1.600 -4.985
-5.621 0.814 5.893
Ir Pr Ge
6 4 8
Direct
0.526 0.750 0.553
0.000 0.000 0.000
0.500 0.500 0.000
0.026 0.750 0.553
0.474 0.250 0.447
0.974 0.250 0.447
0.110 0.592 0.220
0.610 0.908 0.220
0.890 0.408 0.780
0.390 0.092 0.780
0.691 0.750 0.882
0.184 0.974 0.368
0.816 0.026 0.632
0.809 0.250 0.118
0.191 0.750 0.882
0.684 0.526 0.368
0.309 0.250 0.118
0.316 0.474 0.632
```

=====

[2]
VASP calculation (PBE) on Pr2Ge3Ir2 after structural relaxation.

Output
Energy relative to the lowest polymorph listed for this composition ... 0.00 eV/f.u.
Crystal system ... orthorhombic
Space group ... Cmcm, No. 63

Geometry as POSCAR:
```
Pr2Ge3Ir2
1.0
4.182 0.000 -0.997
0.000 7.209 0.000
0.040 0.000 9.438
Pr Ir Ge
4 4 6
Direct
0.156 0.250 0.312
0.844 0.750 0.688
0.942 0.250 0.884
0.058 0.750 0.116
0.306 0.053 0.611
0.694 0.553 0.389
0.694 0.947 0.389
0.306 0.447 0.611
0.436 0.565 0.872
0.225 0.750 0.451
0.564 0.435 0.128
0.436 0.935 0.872
0.564 0.065 0.128
0.775 0.250 0.549
```

=====

[3]
VASP calculation (PBE) on PrGe3Ir3 after structural relaxation.

Output
Energy relative to the lowest polymorph listed for this composition ... 1.72 eV/f.u.
Crystal system ... cubic
Space group ... Pm-3n, No. 223

Geometry as POSCAR:
```
PrGe3Ir3
1.0
-2.206 -0.751 -6.353
4.751 -4.693 -1.095
-4.284 -4.817 2.057
Ir Ge Pr
6 6 2
Direct
0.000 0.500 0.250
0.500 0.750 0.000
0.500 0.250 0.000
0.750 0.000 0.500
0.000 0.500 0.750
0.250 0.000 0.500
0.000 0.250 0.500
0.750 0.500 0.000
0.250 0.500 0.000
0.500 0.000 0.250
0.500 0.000 0.750
0.000 0.750 0.500
0.000 0.000 0.000
0.500 0.500 0.500
```

=====

[4]
VASP calculation (PBE) on Pr3Ge8Ir3 after structural relaxation.

Output
Crystal system ... orthorhombic
Space group ... Immm, No. 71

Geometry as POSCAR:
```
Pr3Ge8Ir3
1.0
4.238 0.000 0.000
2.119 8.209 -0.438
2.119 1.813 8.018
Ge Pr Ir
8 3 3
Direct
0.619 0.083 0.678
0.844 0.527 0.785
0.619 0.678 0.083
0.381 0.322 0.917
0.381 0.917 0.322
0.156 0.215 0.473
0.156 0.473 0.215
0.844 0.785 0.527
0.500 0.500 0.500
0.816 0.184 0.184
0.184 0.816 0.816
0.000 0.793 0.207
0.000 0.207 0.793
0.500 0.000 0.000
```

=====

[5]
VASP calculation (PBE) on PrGe3Ir5 after structural relaxation.

Output
Crystal system ... orthorhombic
Space group ... Cmcm, No. 63

Geometry as POSCAR:
```
PrGe3Ir5
1.0
-1.681 0.440 -3.642
-4.959 -0.383 4.478
0.279 12.408 1.369
Ir Ge Pr
10 6 2
Direct
0.799 0.597 0.429
0.000 0.000 0.000
0.201 0.403 0.571
0.443 0.886 0.144
0.201 0.403 0.929
0.557 0.114 0.644
0.557 0.114 0.856
0.000 0.000 0.500
0.799 0.597 0.071
0.443 0.886 0.356
0.615 0.230 0.451
0.615 0.230 0.049
0.883 0.766 0.250
0.385 0.770 0.549
0.117 0.234 0.750
0.385 0.770 0.951
0.831 0.662 0.750
0.169 0.338 0.250
```

=====

[6]
VASP calculation (PBE) on Pr2Ge5Ir3 after structural relaxation.

Output
Crystal system ... orthorhombic
Space group ... Ibam, No. 72

Geometry as POSCAR:
```
Pr2Ge5Ir3
1.0
8.494 0.007 -0.016
0.011 8.494 0.016
-2.226 -6.277 5.271
Ge Pr Ir
10 4 6
Direct
0.942 0.101 0.841
0.260 0.601 0.659
0.226 0.476 0.250
0.774 0.524 0.750
0.226 0.976 0.750
0.500 0.750 0.250
0.058 0.899 0.159
0.774 0.024 0.250
0.500 0.250 0.750
0.740 0.399 0.341
0.597 0.868 0.729
0.403 0.132 0.271
0.138 0.368 0.771
0.862 0.632 0.229
0.531 0.641 0.890
0.000 0.250 0.250
0.250 0.859 0.390
0.000 0.750 0.750
0.750 0.141 0.610
0.469 0.359 0.110
```

=====

[7]
VASP calculation (PBE) on Pr6Ge2Ir after structural relaxation.

Output
Crystal system ... monoclinic
Space group ... P2_1/c, No. 14

Geometry as POSCAR:
```
Pr6Ge2Ir
1.0
-3.011 3.364 4.710
1.575 -6.057 5.332
9.002 4.414 2.355
Pr Ge Ir
12 4 2
Direct
0.650 0.178 0.942
0.868 0.963 0.242
0.350 0.822 0.058
0.139 0.326 0.064
0.850 0.678 0.558
0.368 0.537 0.742
0.861 0.674 0.936
0.361 0.826 0.436
0.632 0.463 0.258
0.150 0.322 0.442
0.639 0.174 0.564
0.132 0.037 0.758
0.427 0.116 0.245
0.073 0.616 0.255
0.927 0.384 0.745
0.573 0.884 0.755
0.500 0.500 0.000
0.000 0.000 0.500
```

=====

[8]
VASP calculation (PBE) on Pr2Ge3Ir2 after structural relaxation.

Output
Energy relative to the lowest polymorph listed for this composition ... 0.44 eV/f.u.
Crystal system ... monoclinic
Space group ... C2/m, No. 12

Geometry as POSCAR:
```
Pr2Ge3Ir2
1.0
-4.179 -0.612 -0.170
2.851 -4.062 -2.914
-0.154 -0.906 7.038
Ge Pr Ir
3 2 2
Direct
0.631 0.262 0.439
0.369 0.738 0.561
0.500 0.000 0.000
0.146 0.293 0.774
0.854 0.707 0.226
0.864 0.729 0.779
0.136 0.271 0.221
```

=====

[9]
VASP calculation (PBE) on Pr3Ge2Ir2 after structural relaxation.

Output
Crystal system ... orthorhombic
Space group ... Pbcm, No. 57

Geometry as POSCAR:
```
Pr3Ge2Ir2
1.0
-4.277 -2.136 3.279
1.629 -7.479 -2.746
8.796 -1.853 10.266
Ir Pr Ge
8 12 8
Direct
0.628 0.466 0.091
0.372 0.966 0.091
0.628 0.466 0.409
0.628 0.034 0.909
0.372 0.966 0.409
0.628 0.034 0.591
0.372 0.534 0.909
0.372 0.534 0.591
0.369 0.246 0.750
0.860 0.111 0.101
0.860 0.111 0.399
0.631 0.746 0.750
0.140 0.889 0.601
0.140 0.889 0.899
0.860 0.389 0.899
0.140 0.611 0.101
0.860 0.389 0.601
0.369 0.254 0.250
0.631 0.754 0.250
0.140 0.611 0.399
0.631 0.750 0.500
0.856 0.402 0.250
0.369 0.250 0.000
0.856 0.098 0.750
0.144 0.902 0.250
0.631 0.750 0.000
0.369 0.250 0.500
0.144 0.598 0.750
```

=====

[10]
VASP calculation (PBE) on Pr2Ge4Ir5 after structural relaxation.

Output
Crystal system ... orthorhombic
Space group ... Fmmm, No. 69

Geometry as POSCAR:
```
Pr2Ge4Ir5
1.0
-5.647 0.594 0.534
-3.360 -0.471 -4.556
-3.478 -7.033 1.507
Ge Pr Ir
4 2 5
Direct
0.529 0.683 0.260
0.212 0.317 0.260
0.788 0.683 0.740
0.471 0.317 0.740
0.126 0.000 0.749
0.874 0.000 0.251
0.750 0.500 0.500
0.000 0.500 0.000
0.500 0.000 0.000
0.250 0.500 0.500
0.500 0.500 0.000
```

=====

[11]
VASP calculation (PBE) on Pr3Ge3Ir2 after structural relaxation.

Output
Energy relative to the lowest polymorph listed for this composition ... 0.11 eV/f.u.
Crystal system ... orthorhombic
Space group ... Pnma, No. 62

Geometry as POSCAR:
```
Pr3Ge3Ir2
1.0
6.157 0.000 0.000
0.000 7.969 0.000
0.000 0.000 14.754
Pr Ir Ge
12 8 12
Direct
0.369 0.977 0.392
0.631 0.023 0.892
0.869 0.523 0.608
0.367 0.660 0.750
0.867 0.840 0.250
0.131 0.477 0.392
0.631 0.023 0.608
0.869 0.523 0.892
0.633 0.340 0.250
0.133 0.160 0.750
0.369 0.977 0.108
0.131 0.477 0.108
0.121 0.869 0.903
0.379 0.369 0.903
0.379 0.369 0.597
0.621 0.631 0.097
0.121 0.869 0.597
0.879 0.131 0.097
0.879 0.131 0.403
0.621 0.631 0.403
0.102 0.170 0.955
0.101 0.189 0.250
0.601 0.311 0.750
0.102 0.170 0.545
0.898 0.830 0.455
0.898 0.830 0.045
0.602 0.330 0.455
0.398 0.670 0.545
0.399 0.689 0.250
0.398 0.670 0.955
0.899 0.811 0.750
0.602 0.330 0.045
```

=====

[12]
VASP calculation (PBE) on Pr3GeIr2 after structural relaxation.

Output
Crystal system ... orthorhombic
Space group ... Pnma, No. 62

Geometry as POSCAR:
```
Pr3GeIr2
1.0
4.093 0.000 0.000
0.000 12.405 0.000
0.000 0.000 11.994
Pr Ir Ge
12 8 4
Direct
0.250 0.118 0.558
0.250 0.058 0.872
0.250 0.442 0.372
0.750 0.618 0.942
0.250 0.382 0.058
0.250 0.689 0.197
0.750 0.942 0.128
0.750 0.189 0.303
0.750 0.882 0.442
0.250 0.811 0.697
0.750 0.311 0.803
0.750 0.558 0.628
0.250 0.813 0.984
0.750 0.313 0.516
0.750 0.519 0.187
0.250 0.481 0.813
0.750 0.981 0.687
0.750 0.187 0.016
0.250 0.019 0.313
0.250 0.687 0.484
0.750 0.638 0.378
0.250 0.362 0.622
0.750 0.862 0.878
0.250 0.138 0.122
```

=====

[13]
VASP calculation (PBE) on PrGe7Ir3 after structural relaxation.

Output
Crystal system ... trigonal
Space group ... R-3c, No. 167

Geometry as POSCAR:
```
PrGe7Ir3
1.0
7.032 0.000 3.787
2.496 6.574 3.787
0.012 0.008 8.401
Ge Ir Pr
14 6 2
Direct
0.668 0.072 0.409
0.928 0.149 0.591
0.832 0.649 0.091
0.750 0.750 0.750
0.351 0.572 0.909
0.851 0.668 0.409
0.572 0.168 0.909
0.332 0.928 0.591
0.072 0.851 0.409
0.649 0.428 0.091
0.250 0.250 0.250
0.168 0.351 0.909
0.428 0.832 0.091
0.149 0.332 0.591
0.434 0.066 0.750
0.566 0.934 0.250
0.750 0.434 0.750
0.934 0.250 0.250
0.066 0.750 0.750
0.250 0.566 0.250
0.000 0.000 0.000
0.500 0.500 0.500
```

=====

[14]
VASP calculation (PBE) on Pr3GeIr3 after structural relaxation.

Output
Crystal system ... monoclinic
Space group ... C2/m, No. 12

Geometry as POSCAR:
```
Pr3GeIr3
1.0
-2.370 2.667 2.168
-5.496 -0.209 -1.731
-4.180 -8.965 10.480
Ir Pr Ge
6 6 2
Direct
0.843 0.779 0.536
0.115 0.848 0.923
0.964 0.839 0.234
0.157 0.221 0.464
0.036 0.161 0.766
0.885 0.152 0.077
0.742 0.736 0.779
0.258 0.264 0.221
0.517 0.347 0.620
0.483 0.653 0.380
0.610 0.707 0.074
0.390 0.293 0.926
0.231 0.928 0.610
0.769 0.072 0.390
```

=====

[15]
VASP calculation (PBE) on Pr2Ge6Ir after structural relaxation.

Output
Crystal system ... trigonal
Space group ... P-3m1, No. 164

Geometry as POSCAR:
```
Pr2Ge6Ir
1.0
5.498 -0.028 -0.016
0.032 6.156 0.006
0.032 3.072 5.335
Ge Pr Ir
6 2 1
Direct
0.687 0.641 0.180
0.313 0.820 0.359
0.313 0.820 0.820
0.687 0.180 0.641
0.687 0.180 0.180
0.313 0.359 0.820
0.175 0.333 0.333
0.825 0.667 0.667
0.000 0.000 0.000
```

=====

[16]
VASP calculation (PBE) on PrGe12Ir4 after structural relaxation.

Output
Crystal system ... cubic
Space group ... Im-3, No. 204

Geometry as POSCAR:
```
PrGe12Ir4
1.0
7.533 0.000 0.000
-2.511 7.103 0.000
-2.511 -3.551 6.151
Ir Ge Pr
4 12 1
Direct
0.500 0.500 0.500
0.500 0.000 0.000
0.000 0.500 0.000
0.000 0.000 0.500
0.196 0.846 0.349
0.651 0.497 0.846
0.154 0.651 0.804
0.154 0.349 0.503
0.497 0.846 0.651
0.846 0.651 0.497
0.804 0.154 0.651
0.503 0.154 0.349
0.651 0.804 0.154
0.349 0.503 0.154
0.846 0.349 0.196
0.349 0.196 0.846
0.000 0.000 0.000
```

=====

[17]
VASP calculation (PBE) on Pr4GeIr after structural relaxation.

Output
Crystal system ... monoclinic
Space group ... C2/c, No. 15

Geometry as POSCAR:
```
Pr4GeIr
1.0
6.301 -0.091 0.000
-1.717 7.970 0.000
-2.292 -3.939 6.987
Pr Ge Ir
8 2 2
Direct
0.341 0.644 0.870
0.219 0.304 0.366
0.659 0.356 0.130
0.647 0.062 0.366
0.970 0.774 0.130
0.353 0.938 0.634
0.030 0.226 0.870
0.781 0.696 0.634
0.378 0.628 0.256
0.622 0.372 0.744
0.250 0.000 0.000
0.750 0.000 0.000
```

=====

Calculated formation energy, record by record: -0.70; -0.69; -0.17; -0.46; -0.37; -0.74; -0.49; -0.63; -0.78; -0.63; -0.80; -0.64; -0.47; -0.66; -0.49; -0.24; -0.52 eV/atom
Size of the total moment, record by record: 0.00; 0.00; 0.00; 0.00; 0.00; 0.00; 0.00; 0.00; 0.00; 0.00; 0.00; 0.00; 0.00; 0.00; 0.00; 0.00; 0.00 μB per cell
E, record by record: -121.84; -91.98; -92.83; -84.32; -132.55; -133.34; -102.43; -45.55; -187.14; -79.21; -209.29; -162.00; -137.74; -100.25; -50.56; -99.68; -71.39 eV per cell